# SrSc2Os PBE optimized geometry
# - total magnetization (μB/f.u.) = 0.00
# - relative energy among the computed polymorphs (eV/atom) = 0.174
# - E_form (eV/atom) = 0.0326
data_SrSc2Os
_chemical_formula_sum 'Sr2 Sc4 Os2'
_cell_length_a 8.067
_cell_length_b 4.328
_cell_length_c 6.483
_cell_angle_alpha 90.00
_cell_angle_beta 111.65
_cell_angle_gamma 90.00
_space_group_name_H-M_alt 'C 1 2/m 1'
_space_group_IT_number 12
loop_
_space_group_symop_operation_xyz
'x,y,z'
'-x,-y,-z'
'-x,y,-z'
'x,-y,z'
'x+1/2,y+1/2,z'
'-x+1/2,-y+1/2,-z'
'-x+1/2,y+1/2,-z'
'x+1/2,-y+1/2,z'
loop_
_atom_site_label
_atom_site_type_symbol
_atom_site_fract_x
_atom_site_fract_y
_atom_site_fract_z
_atom_site_occupancy
Sr1 Sr 0.000 0.000 0.000 1
Sc1 Sc 0.204 0.000 0.634 1
Os1 Os 0.000 0.500 0.500 1